*P*
Sr2HPt (PBE-GGA, relaxed); total magnetization = 0.00 μB per atom; symmetry = R-3m (166)
1.0
2.1127 1.2198 6.7096
-2.1127 1.2198 6.7096
0.0000 -2.4396 6.7096
Sr H Pt
2 1 1
Direct
0.2476 0.2476 0.2476 Sr
0.7524 0.7524 0.7524 Sr
0.5000 0.5000 0.5000 H
0.0000 0.0000 0.0000 Pt



*Q*
Sr2HPt (PBE-GGA, relaxed); total magnetization = 0.00 μB per atom; symmetry = I-42d (122)
1.0
-3.5974 3.5974 3.8817
3.5974 -3.5974 3.8817
3.5974 3.5974 -3.8817
Sr H Pt
4 2 2
Direct
0.0658 0.6250 0.9408 Sr
0.3750 0.3158 0.4408 Sr
0.6842 0.1250 0.0592 Sr
0.8750 0.9342 0.5592 Sr
0.0000 0.0000 0.0000 H
0.7500 0.2500 0.5000 H
0.2500 0.7500 0.5000 Pt
0.5000 0.5000 0.0000 Pt



*R*
Sr2HPt (PBE-GGA, relaxed); total magnetization = 0.00 μB per atom; symmetry = P4/mmm (123)
1.0
3.6141 0.0000 0.0000
0.0000 3.6141 0.0000
0.0000 0.0000 7.3774
Sr H Pt
2 1 1
Direct
0.0000 0.0000 0.2423 Sr
0.0000 0.0000 0.7577 Sr
0.5000 0.5000 0.5000 H
0.5000 0.5000 0.0000 Pt



Bottom line: *P*, by a margin of 90 meV per atom.



*P*
Sr3HPt (PBE-GGA, relaxed); total magnetization = 0.00 μB per atom; symmetry = Pm-3m (221)
1.0
5.0876 0.0000 0.0000
0.0000 5.0876 0.0000
0.0000 0.0000 5.0876
Sr H Pt
3 1 1
Direct
0.0000 0.0000 0.5000 Sr
0.0000 0.5000 0.0000 Sr
0.5000 0.0000 0.0000 Sr
0.0000 0.0000 0.0000 H
0.5000 0.5000 0.5000 Pt



*Q*
Sr3HPt (PBE-GGA, relaxed); total magnetization = 0.00 μB per atom; symmetry = P2_1/m (11)
1.0
8.1681 0.0000 0.0000
0.0000 4.0931 0.0000
-1.5771 0.0000 8.8994
Sr H Pt
6 2 2
Direct
0.0810 0.2500 0.3300 Sr
0.2792 0.2500 0.9903 Sr
0.3882 0.7500 0.6288 Sr
0.6118 0.2500 0.3712 Sr
0.7208 0.7500 0.0097 Sr
0.9190 0.7500 0.6700 Sr
0.1278 0.2500 0.6177 H
0.8722 0.7500 0.3823 H
0.3424 0.7500 0.2582 Pt
0.6576 0.2500 0.7418 Pt



Bottom line: *Q*, by a margin of 200 meV per atom.



*P*
SrH2Pt2 (PBE-GGA, relaxed); total magnetization = 0.00 μB per atom; symmetry = I4/mmm (139)
1.0
-1.9326 1.9326 5.2178
1.9326 -1.9326 5.2178
1.9326 1.9326 -5.2178
Sr H Pt
1 2 2
Direct
0.0000 0.0000 0.0000 Sr
0.2500 0.7500 0.5000 H
0.7500 0.2500 0.5000 H
0.2812 0.2812 0.0000 Pt
0.7188 0.7188 0.0000 Pt



*Q*
SrH2Pt2 (PBE-GGA, relaxed); total magnetization = 0.00 μB per atom; symmetry = P4/mbm (127)
1.0
6.5412 0.0000 0.0000
0.0000 6.5412 0.0000
0.0000 0.0000 3.6206
Sr H Pt
2 4 4
Direct
0.0000 0.0000 0.0000 Sr
0.5000 0.5000 0.0000 Sr
0.1382 0.3618 0.0000 H
0.3618 0.8618 0.0000 H
0.6382 0.1382 0.0000 H
0.8618 0.6382 0.0000 H
0.1422 0.3578 0.5000 Pt
0.3578 0.8578 0.5000 Pt
0.6422 0.1422 0.5000 Pt
0.8578 0.6422 0.5000 Pt



Bottom line: *P*, by a margin of 49 meV per atom.



*P*
SrHPt2 (PBE-GGA, relaxed); total magnetization = 0.00 μB per atom; symmetry = Fm-3m (225)
1.0
0.0000 3.3175 3.3175
3.3175 0.0000 3.3175
3.3175 3.3175 0.0000
Sr H Pt
1 1 2
Direct
0.0000 0.0000 0.0000 Sr
0.5000 0.5000 0.5000 H
0.2500 0.2500 0.2500 Pt
0.7500 0.7500 0.7500 Pt



*Q*
SrHPt2 (PBE-GGA, relaxed); total magnetization = 0.00 μB per atom; symmetry = Fd-3m (227)
1.0
0.0000 4.1075 4.1075
4.1075 0.0000 4.1075
4.1075 4.1075 0.0000
Sr H Pt
2 2 4
Direct
0.1250 0.1250 0.1250 Sr
0.8750 0.8750 0.8750 Sr
0.3750 0.3750 0.3750 H
0.6250 0.6250 0.6250 H
0.0000 0.5000 0.5000 Pt
0.5000 0.0000 0.5000 Pt
0.5000 0.5000 0.0000 Pt
0.5000 0.5000 0.5000 Pt



Bottom line: *Q*, by a margin of 1066 meV per atom.